# 1
A PBEsol-optimized structure of Tm. Source: Alexandria, functional SCAN.

Output
space group	Im-3m (229)
theoretical density	9.77	Mg/m³
D(E_F)	2.169	states/eV/f.u.
energy relative to the elements	0.137	eV/atom

Cell: 3.3407 3.3407 3.3407 Å, 109.47 109.47 109.47°
Element x y z (fractional)
Tm 0.0000 0.0000 0.0000

# 2
A PBEsol-optimized structure of SmSi2Os2. Source: Alexandria, functional SCAN.

Output
space group	I4/mmm (139)
theoretical density	11.66	Mg/m³
D(E_F)	2.855	states/eV/f.u.

Cell: 5.6863 5.6863 5.6863 Å, 137.30 137.30 61.98°
Element x y z (fractional)
Sm 0.0000 0.0000 0.0000
Si 0.3717 0.3717 0.0000
Si 0.6283 0.6283 0.0000
Os 0.2500 0.7500 0.5000
Os 0.7500 0.2500 0.5000

# 3
A PBEsol-optimized structure of Co4PtBr. Source: Alexandria, functional SCAN.

Output
space group	F-43m (216)
theoretical density	10.94	Mg/m³
D(E_F)	5.299	states/eV/f.u.

Cell: 4.7862 4.7862 4.7862 Å, 60.00 60.00 60.00°
Element x y z (fractional)
Co 0.3759 0.3759 0.3759
Co 0.3759 0.3759 0.8722
Co 0.3759 0.8722 0.3759
Co 0.8722 0.3759 0.3759
Pt 0.7500 0.7500 0.7500
Br 0.0000 0.0000 0.0000

# 4
A PBEsol-optimized structure of Cu2P2Pt. Source: Alexandria, functional SCAN.

Output
space group	P4/mbm (127)
theoretical density	8.51	Mg/m³
D(E_F)	0.791	states/eV/f.u.
energy relative to the elements	-0.156	eV/atom

Cell: 5.9421 5.9421 4.2449 Å, 90.00 90.00 90.00°
Element x y z (fractional)
Cu 0.2142 0.2858 0.0000
Cu 0.2858 0.7858 0.0000
Cu 0.7142 0.2142 0.0000
Cu 0.7858 0.7142 0.0000
P 0.1296 0.3704 0.5000
P 0.3704 0.8704 0.5000
P 0.6296 0.1296 0.5000
P 0.8704 0.6296 0.5000
Pt 0.0000 0.0000 0.5000
Pt 0.5000 0.5000 0.5000

# 5
A PBEsol-optimized structure of Mg17Al11Pb. Source: Alexandria, functional SCAN.

Output
space group	Cm (8)
theoretical density	2.60	Mg/m³
D(E_F)	9.400	states/eV/f.u.
energy relative to the elements	-0.021	eV/atom

Cell: 9.1202 9.1202 9.1246 Å, 109.41 109.41 109.26°
Element x y z (fractional)
Mg 0.0000 0.0000 0.0000
Mg 0.0021 0.0021 0.6625
Mg 0.0016 0.3245 0.2526
Mg 0.0028 0.3559 0.6655
Mg 0.0057 0.6083 0.9770
Mg 0.2905 0.6917 0.3430
Mg 0.3222 0.6181 0.6619
Mg 0.3245 0.0016 0.2526
Mg 0.3559 0.0028 0.6655
Mg 0.4008 0.7184 0.0557
Mg 0.4174 0.4174 0.3740
Mg 0.6083 0.0057 0.9770
Mg 0.6181 0.3222 0.6619
Mg 0.6653 0.6653 0.3121
Mg 0.6868 0.6868 0.9411
Mg 0.6917 0.2905 0.3430
Mg 0.7184 0.4008 0.0557
Al 0.0053 0.6389 0.4743
Al 0.1821 0.3701 0.0271
Al 0.1869 0.8219 0.8437
Al 0.3701 0.1821 0.0271
Al 0.3856 0.3856 0.8683
Al 0.6370 0.8189 0.6578
Al 0.6389 0.0053 0.4743
Al 0.8090 0.9976 0.2847
Al 0.8189 0.6370 0.6578
Al 0.8219 0.1869 0.8437
Al 0.9976 0.8090 0.2847
Pb 0.2036 0.2036 0.4849

# 6
A PBEsol-optimized structure of Nb3O7F. Source: Alexandria, functional SCAN.

Output
space group	Pnma (62)
theoretical density	4.28	Mg/m³
D(E_F)	0.000	states/eV/f.u.

Cell: 15.8220 10.4652 3.8371 Å, 90.00 90.00 90.00°
Element x y z (fractional)
Nb 0.0396 0.2500 0.0406
Nb 0.1666 0.5537 0.0017
Nb 0.1666 0.9463 0.0017
Nb 0.3334 0.0537 0.5017
Nb 0.3334 0.4463 0.5017
Nb 0.4604 0.7500 0.5406
Nb 0.5396 0.2500 0.4594
Nb 0.6666 0.5537 0.4983
Nb 0.6666 0.9463 0.4983
Nb 0.8334 0.0537 0.9983
Nb 0.8334 0.4463 0.9983
Nb 0.9604 0.7500 0.9594
O 0.0288 0.2500 0.5180
O 0.0621 0.6247 0.9922
O 0.0621 0.8753 0.9922
O 0.1220 0.1125 0.0091
O 0.1220 0.3875 0.0091
O 0.2039 0.5476 0.5032
O 0.2039 0.9524 0.5032
O 0.2961 0.0476 0.0032
O 0.2961 0.4524 0.0032
O 0.3780 0.6125 0.5091
O 0.3780 0.8875 0.5091
O 0.4379 0.1247 0.4922
O 0.4379 0.3753 0.4922
O 0.4712 0.7500 0.0180
O 0.5288 0.2500 0.9820
O 0.5621 0.6247 0.5078
O 0.5621 0.8753 0.5078
O 0.6220 0.1125 0.4909
O 0.6220 0.3875 0.4909
O 0.7039 0.5476 0.9968
O 0.7039 0.9524 0.9968
O 0.7961 0.0476 0.4968
O 0.7961 0.4524 0.4968
O 0.8780 0.6125 0.9909
O 0.8780 0.8875 0.9909
O 0.9379 0.1247 0.0078
O 0.9379 0.3753 0.0078
O 0.9712 0.7500 0.4820
F 0.2119 0.7500 0.0071
F 0.2881 0.2500 0.5071
F 0.7119 0.7500 0.4929
F 0.7881 0.2500 0.9929

# 7
A PBEsol-optimized structure of Sr2ZnP2F. Source: Alexandria, functional SCAN.

Output
space group	P4/mmm (123)
theoretical density	3.18	Mg/m³
D(E_F)	2.913	states/eV/f.u.

Cell: 3.3865 3.3865 14.6470 Å, 90.00 90.00 90.00°
Element x y z (fractional)
Sr 0.0000 0.0000 0.1542
Sr 0.0000 0.0000 0.8458
Zn 0.0000 0.0000 0.5000
P 0.0000 0.0000 0.3495
P 0.0000 0.0000 0.6505
F 0.0000 0.0000 0.0000

# 8
A PBEsol-optimized structure of LiZn2As. Source: Alexandria, functional SCAN.

Output
space group	I-42d (122)
theoretical density	4.80	Mg/m³
D(E_F)	1.671	states/eV/f.u.
energy relative to the elements	-0.074	eV/atom

Cell: 6.0066 6.0066 6.0066 Å, 99.51 99.51 132.03°
Element x y z (fractional)
Li 0.0000 0.0000 0.0000
Li 0.7500 0.2500 0.5000
Zn 0.1868 0.6250 0.0618
Zn 0.3750 0.4368 0.5618
Zn 0.5632 0.1250 0.9382
Zn 0.8750 0.8132 0.4382
As 0.2500 0.7500 0.5000
As 0.5000 0.5000 0.0000

# 9
A PBEsol-optimized structure of NaHgS3. Source: Alexandria, functional SCAN.

Output
space group	Pm-3m (221)
theoretical density	4.50	Mg/m³
D(E_F)	3.516	states/eV/f.u.

Cell: 4.9046 4.9046 4.9046 Å, 90.00 90.00 90.00°
Element x y z (fractional)
Na 0.0000 0.0000 0.0000
Hg 0.5000 0.5000 0.5000
S 0.0000 0.0000 0.5000
S 0.0000 0.5000 0.0000
S 0.5000 0.0000 0.0000

# 10
A PBEsol-optimized structure of SmMgIn. Source: Alexandria, functional SCAN.

Output
space group	P-62m (189)
theoretical density	6.26	Mg/m³
D(E_F)	0.333	states/eV/f.u.
energy relative to the elements	-0.559	eV/atom

Cell: 7.5449 7.5449 4.6718 Å, 90.00 90.00 120.00°
Element x y z (fractional)
Sm 0.0000 0.4318 0.0000
Sm 0.4318 0.0000 0.0000
Sm 0.5682 0.5682 0.0000
Mg 0.0000 0.7580 0.5000
Mg 0.2420 0.2420 0.5000
Mg 0.7580 0.0000 0.5000
In 0.0000 0.0000 0.0000
In 0.3333 0.6667 0.5000
In 0.6667 0.3333 0.5000

# 11
A PBEsol-optimized structure of Li2VCrO4. Source: Alexandria, functional SCAN.

Output
space group	C2/c (15)
theoretical density	4.33	Mg/m³
D(E_F)	0.302	states/eV/f.u.

Cell: 5.8417 5.8417 4.9350 Å, 106.13 106.13 60.42°
Element x y z (fractional)
Li 0.1208 0.3745 0.2478
Li 0.3745 0.1208 0.7478
Li 0.6255 0.8792 0.2522
Li 0.8792 0.6255 0.7522
V 0.3841 0.6159 0.7500
V 0.6159 0.3841 0.2500
Cr 0.1209 0.8791 0.2500
Cr 0.8791 0.1209 0.7500
O 0.0128 0.7620 0.5113
O 0.2380 0.9872 0.9887
O 0.2513 0.5160 0.0096
O 0.4840 0.7487 0.4904
O 0.5160 0.2513 0.5096
O 0.7487 0.4840 0.9904
O 0.7620 0.0128 0.0113
O 0.9872 0.2380 0.4887

# 12
A PBEsol-optimized structure of KHgOs2C. Source: Alexandria, functional SCAN.

Output
space group	P4/mmm (123)
theoretical density	11.46	Mg/m³
D(E_F)	3.561	states/eV/f.u.
energy relative to the elements	1.090	eV/atom

Cell: 4.0058 4.0058 5.7071 Å, 90.00 90.00 90.00°
Element x y z (fractional)
K 0.0000 0.0000 0.0000
Hg 0.5000 0.5000 0.0000
Os 0.0000 0.5000 0.5000
Os 0.5000 0.0000 0.5000
C 0.5000 0.5000 0.5000

Number 1: calculated total energy -51.695 eV/cell. Number 2: calculated total energy -212.244 eV/cell. Number 3: calculated total energy -155.093 eV/cell. Number 4: calculated total energy -244.342 eV/cell. Number 5: calculated total energy -246.222 eV/cell. Number 6: calculated total energy -707.992 eV/cell. Number 7: calculated total energy -84.587 eV/cell. Number 8: calculated total energy -99.811 eV/cell. Number 9: calculated total energy -97.183 eV/cell. Number 10: calculated total energy -253.440 eV/cell. Number 11: calculated total energy -171.633 eV/cell. Number 12: calculated total energy -224.906 eV/cell.